AcSm6Cd2 (PBE-GGA, optimized geometry); distance to the lowest polymorph of the same formula = 0.00 eV/f.u.; formation energy from the elements = -0.121 eV/atom
1.0
6.5281 -1.9298 0.0000
6.5281 1.9298 0.0000
-3.8386 0.0000 11.6333
Ac Sm Cd
1 6 2
Cartesian
0.0000 0.0000 0.0000
-1.1156 0.0000 3.9548
3.5893 0.0000 1.4693
2.4919 0.0000 4.8766
6.7257 0.0000 6.7567
5.6283 0.0000 10.1640
10.3332 0.0000 7.6785
1.5309 0.0000 9.0190
7.6867 0.0000 2.6143

---

AcSm8Cd2 (PBE-GGA, optimized geometry); formation energy from the elements = 0.330 eV/atom
1.0
7.2780 -5.4265 0.0000
7.2780 5.4265 0.0000
-1.0878 0.0000 5.2081
Ac Sm Cd
1 8 2
Cartesian
0.0000 0.0000 0.0000
5.5801 2.5178 1.1299
3.4352 0.0000 0.6837
7.8880 2.5178 4.0783
5.3221 0.0000 3.6909
8.1460 0.0000 1.5172
5.5801 -2.5178 1.1299
10.0330 0.0000 4.5244
7.8880 -2.5178 4.0783
1.4772 0.0000 2.9692
11.9909 0.0000 2.2389

---

AcSmCd3 (PBE-GGA, optimized geometry); formation energy from the elements = -0.300 eV/atom
1.0
1.8819 -15.1642 0.0000
1.8819 15.1642 0.0000
0.0000 0.0000 5.1045
Ac Sm Cd
2 2 6
Cartesian
1.8819 12.8646 3.8284
1.8819 -12.8646 1.2761
1.8819 8.6941 1.2761
1.8819 -8.6941 3.8284
1.8819 5.4244 1.2761
1.8819 3.7717 3.8284
1.8819 0.7385 3.8284
1.8819 -0.7385 1.2761
1.8819 -3.7717 1.2761
1.8819 -5.4244 3.8284

---

AcSm5Cd4 (PBE-GGA, optimized geometry); formation energy from the elements = -0.245 eV/atom
1.0
3.8208 0.0000 0.0000
0.0000 3.8208 0.0000
0.0000 0.0000 20.4853
Ac Sm Cd
1 5 4
Cartesian
0.0000 0.0000 0.0000
1.9104 1.9104 2.6500
1.9104 1.9104 6.4541
1.9104 1.9104 10.2427
1.9104 1.9104 14.0312
1.9104 1.9104 17.8354
0.0000 0.0000 4.5273
0.0000 0.0000 8.3350
0.0000 0.0000 12.1503
0.0000 0.0000 15.9581

---

AcSmCd2 (PBE-GGA, optimized geometry); distance to the lowest polymorph of the same formula = 0.00 eV/f.u.; formation energy from the elements = -0.295 eV/atom
1.0
3.9203 0.0000 0.0000
0.0000 3.9203 0.0000
0.0000 0.0000 7.9923
Ac Sm Cd
1 1 2
Cartesian
0.0000 0.0000 0.0000
0.0000 0.0000 3.9961
1.9601 1.9601 2.2269
1.9601 1.9601 5.7654

---

Ac14SmCd (PBE-GGA, optimized geometry); formation energy from the elements = 0.025 eV/atom
1.0
11.9136 0.0000 0.0000
0.0000 4.8711 5.9597
0.0000 -4.8711 5.9597
Ac Sm Cd
14 1 1
Cartesian
0.0000 0.0000 0.0000
0.0000 0.0000 5.2474
0.0000 -1.9850 8.6444
0.0000 1.9850 8.6444
2.7602 0.0000 2.5918
3.1340 -2.0471 5.9896
3.1340 2.0471 5.9896
3.3494 0.0000 9.3623
5.9568 -2.0369 3.2859
5.9568 2.0369 3.2859
8.5642 0.0000 9.3623
8.7796 -2.0471 5.9896
8.7796 2.0471 5.9896
9.1534 0.0000 2.5918
5.9568 0.0000 0.1002
5.9568 0.0000 6.6560

---

AcSmCd4 (PBE-GGA, optimized geometry); distance to the lowest polymorph of the same formula = 0.15 eV/f.u.; formation energy from the elements = -0.293 eV/atom
1.0
0.0000 4.3123 4.3123
4.3123 0.0000 4.3123
4.3123 4.3123 0.0000
Ac Sm Cd
1 1 4
Cartesian
0.0000 0.0000 0.0000
2.1562 2.1562 2.1562
5.3846 3.2400 3.2400
3.2400 5.3846 3.2400
3.2400 3.2400 5.3846
5.3846 5.3846 5.3846

---

AcSm2Cd (PBE-GGA, optimized geometry); distance to the lowest polymorph of the same formula = 0.72 eV/f.u.; formation energy from the elements = 0.042 eV/atom
1.0
0.0000 4.0243 4.0243
4.0243 0.0000 4.0243
4.0243 4.0243 0.0000
Ac Sm Cd
1 2 1
Cartesian
0.0000 0.0000 0.0000
2.0121 2.0121 2.0121
6.0364 6.0364 6.0364
4.0243 4.0243 4.0243

---

AcSmCdSn (PBE-GGA, optimized geometry); formation energy from the elements = -0.471 eV/atom
1.0
0.0000 3.9529 3.9529
3.9529 0.0000 3.9529
3.9529 3.9529 0.0000
Ac Sm Cd Sn
1 1 1 1
Cartesian
0.0000 0.0000 0.0000
3.9529 3.9529 3.9529
1.9765 1.9765 1.9765
5.9294 5.9294 5.9294

---

SrAcSmCd (PBE-GGA, optimized geometry); formation energy from the elements = 0.111 eV/atom
1.0
0.0000 4.1784 4.1784
4.1784 0.0000 4.1784
4.1784 4.1784 0.0000
Sr Ac Sm Cd
1 1 1 1
Cartesian
0.0000 0.0000 0.0000
6.2675 6.2675 6.2675
4.1784 4.1784 4.1784
2.0892 2.0892 2.0892

---

AcTbSmCd (PBE-GGA, optimized geometry); distance to the lowest polymorph of the same formula = 0.00 eV/f.u.; formation energy from the elements = -0.130 eV/atom
1.0
3.8069 0.0000 0.0000
0.0000 3.8069 0.0000
0.0000 0.0000 8.9884
Ac Tb Sm Cd
1 1 1 1
Cartesian
0.0000 0.0000 0.0000
1.9035 1.9035 2.5978
1.9035 1.9035 6.3464
0.0000 0.0000 4.4148

---

AcTbSmCd (PBE-GGA, optimized geometry); distance to the lowest polymorph of the same formula = 0.75 eV/f.u.; formation energy from the elements = 0.058 eV/atom
1.0
0.0000 4.0035 4.0035
4.0035 0.0000 4.0035
4.0035 4.0035 0.0000
Ac Tb Sm Cd
1 1 1 1
Cartesian
0.0000 0.0000 0.0000
6.0053 6.0053 6.0053
2.0018 2.0018 2.0018
4.0035 4.0035 4.0035

---

Ac2SmCdTe5 (PBE-GGA, optimized geometry); E_form (uncorrected) = -1.28 eV/atom
1.0
2.2708 -9.8600 0.0000
2.2708 9.8600 0.0000
0.0000 0.0000 13.7724
Ac Sm Cd Te
4 2 2 10
Cartesian
2.2708 7.5484 6.8862
2.2708 7.2681 1.7087
2.2708 -7.2681 8.5950
2.2708 -7.5484 0.0000
2.2708 5.9493 11.3668
2.2708 -5.9493 4.4806
2.2708 1.1356 3.7050
2.2708 -1.1356 10.5912
2.2708 8.9795 12.2139
2.2708 4.1599 6.6601
2.2708 3.7642 2.2358
2.2708 2.8054 11.2307
2.2708 0.0687 8.0820
2.2708 -0.0687 1.1958
2.2708 -2.8054 4.3445
2.2708 -3.7642 9.1220
2.2708 -4.1599 13.5463
2.2708 -8.9795 5.3277

---

AcSmThCd (PBE-GGA, optimized geometry); formation energy from the elements = 0.135 eV/atom
1.0
0.0000 4.0158 4.0158
4.0158 0.0000 4.0158
4.0158 4.0158 0.0000
Ac Sm Th Cd
1 1 1 1
Cartesian
0.0000 0.0000 0.0000
2.0079 2.0079 2.0079
6.0237 6.0237 6.0237
4.0158 4.0158 4.0158

---

AcSm2Tl2Cd2 (PBE-GGA, optimized geometry); formation energy from the elements = -0.213 eV/atom
1.0
2.5504 1.4725 9.3061
-2.5504 1.4725 9.3061
0.0000 -2.9449 9.3061
Ac Sm Tl Cd
1 2 2 2
Cartesian
0.0000 0.0000 0.0000
0.0000 0.0000 3.7801
0.0000 0.0000 24.1381
0.0000 0.0000 7.3692
0.0000 0.0000 20.5490
0.0000 0.0000 12.0852
0.0000 0.0000 15.8330

---

AcSmTmCd (PBE-GGA, optimized geometry); distance to the lowest polymorph of the same formula = 0.00 eV/f.u.; formation energy from the elements = -0.118 eV/atom
1.0
3.7763 0.0000 0.0000
0.0000 3.7763 0.0000
0.0000 0.0000 9.0129
Ac Sm Tm Cd
1 1 1 1
Cartesian
0.0000 0.0000 0.0000
1.8881 1.8881 6.3278
1.8881 1.8881 2.5957
0.0000 0.0000 4.3502

---

AcSmTmCd (PBE-GGA, optimized geometry); distance to the lowest polymorph of the same formula = 0.40 eV/f.u.; formation energy from the elements = -0.018 eV/atom
1.0
0.0000 4.0107 4.0107
4.0107 0.0000 4.0107
4.0107 4.0107 0.0000
Ac Sm Tm Cd
1 1 1 1
Cartesian
0.0000 0.0000 0.0000
4.0107 4.0107 4.0107
2.0054 2.0054 2.0054
6.0161 6.0161 6.0161

---

AcCdSn (PBE-GGA, optimized geometry); distance to the lowest polymorph of the same formula = 0.72 eV/f.u.; formation energy from the elements = -0.318 eV/atom
1.0
-1.9644 1.9644 5.9932
1.9644 -1.9644 5.9932
1.9644 1.9644 -5.9932
Ac Cd Sn
1 1 1
Cartesian
0.0000 0.0000 0.0000
0.0000 0.0000 3.8189
0.0000 0.0000 8.3035

---

AcCdSn (PBE-GGA, optimized geometry); distance to the lowest polymorph of the same formula = 0.99 eV/f.u.; formation energy from the elements = -0.231 eV/atom
1.0
0.0000 5.6577 7.5139
4.5794 0.0000 7.5139
4.5794 5.6577 0.0000
Ac Cd Sn
4 4 4
Cartesian
0.0000 0.0000 0.0000
2.2897 2.8289 0.0000
2.2897 0.0000 3.7570
0.0000 2.8289 3.7570
3.4346 4.2433 3.1068
5.7243 7.0722 6.8637
3.4346 4.2433 8.1641
5.7243 7.0722 11.9211
3.4346 2.6887 5.6355
5.7243 5.5176 9.3924
3.4346 5.7979 5.6355
5.7243 8.6268 9.3924

---

Ac2Cd16Sn (PBE-GGA, optimized geometry); formation energy from the elements = -0.187 eV/atom
1.0
5.1990 3.0016 4.9609
-5.1990 3.0016 4.9609
0.0000 -6.0032 4.9609
Ac Cd Sn
2 16 1
Cartesian
0.0000 0.0000 0.0000
0.0000 0.0000 4.9426
0.0000 -2.9148 2.7103
-2.5243 1.4574 2.7103
-2.4890 -1.4370 7.4373
0.0000 -3.1558 7.2512
-2.7330 1.5779 7.2512
-1.5856 -2.7400 9.9348
-3.1657 -0.0032 9.9348
2.5243 1.4574 2.7103
0.0000 0.0000 8.4682
2.4890 -1.4370 7.4373
0.0000 2.8740 7.4373
1.5856 -2.7400 9.9348
-1.5801 2.7432 9.9348
2.7330 1.5779 7.2513
3.1657 -0.0032 9.9348
1.5801 2.7432 9.9348
0.0000 0.0000 11.4426

---

Number 1: volume 32.568 A^3/atom. Number 2: volume 37.398 A^3/atom. Number 3: volume 29.134 A^3/atom. Number 4: volume 29.905 A^3/atom. Number 5: volume 30.708 A^3/atom. Number 6: volume 43.232 A^3/atom. Number 7: volume 26.731 A^3/atom. Number 8: volume 32.586 A^3/atom. Number 9: volume 30.884 A^3/atom. Number 10: volume 36.475 A^3/atom. Number 11: volume 32.567 A^3/atom. Number 12: volume 32.085 A^3/atom. Number 13: volume 34.262 A^3/atom. Number 14: volume 32.381 A^3/atom. Number 15: volume 29.955 A^3/atom. Number 16: volume 32.132 A^3/atom. Number 17: volume 32.258 A^3/atom. Number 18: volume 30.835 A^3/atom. Number 19: volume 32.447 A^3/atom. Number 20: volume 24.447 A^3/atom.